*w*
Here is an optimized crystal structure of LiLaLuAu from the Open Quantum Materials Database. Energies are from PBE-GGA.

Its total magnetic moment is 0.00 μB/f.u.

It has space group F-43m (No. 216), with a = 7.3400 Å, b = 7.3400 Å, c = 7.3400 Å, α = 90.00°, β = 90.00° and γ = 90.00°. The inequivalent atoms are Li at (0.0000, 0.0000, 0.0000), La at (0.2500, 0.2500, 0.7500), Lu at (0.2500, 0.2500, 0.2500) and Au at (0.0000, 0.0000, 0.5000).

***

*x*
Here is an optimized crystal structure of LiLaLuAu from the Open Quantum Materials Database. Energies are from PBE-GGA.

Its total magnetic moment is 0.00 μB/f.u.

It has space group F-43m (No. 216), with a = 7.1001 Å, b = 7.1001 Å, c = 7.1001 Å, α = 90.00°, β = 90.00° and γ = 90.00°. The inequivalent atoms are Li at (0.0000, 0.0000, 0.0000), La at (0.2500, 0.2500, 0.2500), Lu at (0.0000, 0.0000, 0.5000) and Au at (0.2500, 0.2500, 0.7500).

***

Energies relative to the most stable structure are *w* 0; *x* 97, reported in meV/atom.

***

*w*
Here is an optimized crystal structure of LiLa4AuO8 from the Open Quantum Materials Database. Energies are from PBE-GGA.

Its total magnetic moment is 0.00 μB/f.u.

It has space group Cmmm (No. 65), with a = 5.4237 Å, b = 13.1891 Å, c = 5.4163 Å, α = 90.00°, β = 90.00° and γ = 90.00°. The inequivalent atoms are Li at (0.0000, 0.0000, 0.0000), La at (0.0000, 0.1373, 0.5000), La at (0.0000, 0.3575, 0.0000), Au at (0.0000, 0.5000, 0.5000), O at (0.0000, 0.1832, 0.0000), O at (0.0000, 0.3047, 0.5000) and O at (0.2447, 0.0000, 0.2406).

***

*x*
Here is an optimized crystal structure of LiLa4AuO8 from the Open Quantum Materials Database. Energies are from PBE-GGA.

Its total magnetic moment is 0.09 μB/f.u.

It has space group Cmmm (No. 65), with a = 6.1161 Å, b = 14.7811 Å, c = 5.5620 Å, α = 90.00°, β = 90.00° and γ = 90.00°. The inequivalent atoms are Li at (0.0000, 0.0000, 0.0000), La at (0.0000, 0.1795, 0.0000), La at (0.0000, 0.3881, 0.0000), Au at (0.0000, 0.5000, 0.5000), O at (0.2178, 0.5000, 0.2191) and O at (0.2500, 0.2500, 0.2249).

***

Energies relative to the most stable structure are *w* 0; *x* 666, reported in meV/atom.

***

*w*
Here is an optimized crystal structure of LiLaSbAu from the Open Quantum Materials Database. Energies are from PBE-GGA.

Its total magnetic moment is 0.00 μB/f.u.

It has space group F-43m (No. 216), with a = 7.1886 Å, b = 7.1886 Å, c = 7.1886 Å, α = 90.00°, β = 90.00° and γ = 90.00°. The inequivalent atoms are Li at (0.0000, 0.0000, 0.0000), La at (0.2500, 0.2500, 0.7500), Sb at (0.2500, 0.2500, 0.2500) and Au at (0.0000, 0.0000, 0.5000).

***

*x*
Here is an optimized crystal structure of LiLaSbAu from the Open Quantum Materials Database. Energies are from PBE-GGA.

Its total magnetic moment is 0.00 μB/f.u.

It has space group F-43m (No. 216), with a = 7.3757 Å, b = 7.3757 Å, c = 7.3757 Å, α = 90.00°, β = 90.00° and γ = 90.00°. The inequivalent atoms are Li at (0.0000, 0.0000, 0.0000), La at (0.0000, 0.0000, 0.5000), Sb at (0.2500, 0.2500, 0.2500) and Au at (0.2500, 0.2500, 0.7500).

***

*y*
Here is an optimized crystal structure of LiLaSbAu from the Open Quantum Materials Database. Energies are from PBE-GGA.

Its total magnetic moment is 0.00 μB/f.u.

It has space group F-43m (No. 216), with a = 7.2473 Å, b = 7.2473 Å, c = 7.2473 Å, α = 90.00°, β = 90.00° and γ = 90.00°. The inequivalent atoms are Li at (0.0000, 0.0000, 0.0000), La at (0.2500, 0.2500, 0.2500), Sb at (0.0000, 0.0000, 0.5000) and Au at (0.2500, 0.2500, 0.7500).

***

Energies relative to the most stable structure are *w* 168; *x* 0; *y* 352, reported in meV/atom.

***

*w*
Here is an optimized crystal structure of LiLaTlAu from the Open Quantum Materials Database. Energies are from PBE-GGA.

Its total magnetic moment is 0.00 μB/f.u.

It has space group F-43m (No. 216), with a = 7.3315 Å, b = 7.3315 Å, c = 7.3315 Å, α = 90.00°, β = 90.00° and γ = 90.00°. The inequivalent atoms are Li at (0.0000, 0.0000, 0.0000), La at (0.0000, 0.0000, 0.5000), Tl at (0.2500, 0.2500, 0.2500) and Au at (0.2500, 0.2500, 0.7500).

***

*x*
Here is an optimized crystal structure of LiLaTlAu from the Open Quantum Materials Database. Energies are from PBE-GGA.

Its total magnetic moment is 0.00 μB/f.u.

It has space group F-43m (No. 216), with a = 7.1836 Å, b = 7.1836 Å, c = 7.1836 Å, α = 90.00°, β = 90.00° and γ = 90.00°. The inequivalent atoms are Li at (0.0000, 0.0000, 0.0000), La at (0.2500, 0.2500, 0.2500), Tl at (0.0000, 0.0000, 0.5000) and Au at (0.2500, 0.2500, 0.7500).

***

*y*
Here is an optimized crystal structure of LiLaTlAu from the Open Quantum Materials Database. Energies are from PBE-GGA.

Its total magnetic moment is 0.00 μB/f.u.

It has space group F-43m (No. 216), with a = 7.1591 Å, b = 7.1591 Å, c = 7.1591 Å, α = 90.00°, β = 90.00° and γ = 90.00°. The inequivalent atoms are Li at (0.0000, 0.0000, 0.0000), La at (0.2500, 0.2500, 0.7500), Tl at (0.2500, 0.2500, 0.2500) and Au at (0.0000, 0.0000, 0.5000).

***

Energies relative to the most stable structure are *w* 25; *x* 129; *y* 0, reported in meV/atom.

***

*w*
Here is an optimized crystal structure of LaMgTe3Au from the Open Quantum Materials Database. Energies are from PBE-GGA.

Its total magnetic moment is 0.00 μB/f.u.

It has space group Pnma (No. 62), with a = 12.7370 Å, b = 4.4051 Å, c = 13.1229 Å, α = 90.00°, β = 90.00° and γ = 90.00°. The inequivalent atoms are La at (0.0362, 0.2500, 0.1898), Mg at (0.2464, 0.2500, 0.3802), Te at (0.0657, 0.7500, 0.3734), Te at (0.1074, 0.2500, 0.9404), Te at (0.1792, 0.7500, 0.6570) and Au at (0.2276, 0.7500, 0.2361).

***

*x*
Here is an optimized crystal structure of LaMgTe3Au from the Open Quantum Materials Database. Energies are from PBE-GGA.

Its total magnetic moment is 0.00 μB/f.u.

It has space group Cmcm (No. 63), with a = 4.2778 Å, b = 15.2892 Å, c = 11.6456 Å, α = 90.00°, β = 90.00° and γ = 90.00°. The inequivalent atoms are La at (0.0000, 0.0000, 0.0000), Mg at (0.0000, 0.1493, 0.2500), Te at (0.0000, 0.0933, 0.7500), Te at (0.0000, 0.3464, 0.5709) and Au at (0.0000, 0.4772, 0.7500).

***

Energies relative to the most stable structure are *w* 18; *x* 0, reported in meV/atom.

***

*w*
Here is an optimized crystal structure of La2Au2O5 from the Open Quantum Materials Database. Energies are from PBE-GGA.

Its total magnetic moment is 1.69 μB/f.u.

It has space group P4/mmm (No. 123), with a = 4.0261 Å, b = 4.0261 Å, c = 9.5048 Å, α = 90.00°, β = 90.00° and γ = 90.00°. The inequivalent atoms are La at (0.0000, 0.0000, 0.2467), Au at (0.5000, 0.5000, 0.0000), Au at (0.5000, 0.5000, 0.5000), O at (0.0000, 0.0000, 0.0000) and O at (0.0000, 0.5000, 0.3645).

***

*x*
Here is an optimized crystal structure of La2Au2O5 from the Open Quantum Materials Database. Energies are from PBE-GGA.

Its total magnetic moment is 0.01 μB/f.u.

It has space group P4/mmm (No. 123), with a = 4.2184 Å, b = 4.2184 Å, c = 7.2018 Å, α = 90.00°, β = 90.00° and γ = 90.00°. The inequivalent atoms are La at (0.0000, 0.0000, 0.0000), La at (0.0000, 0.0000, 0.5000), Au at (0.5000, 0.5000, 0.1933), O at (0.0000, 0.5000, 0.2262) and O at (0.5000, 0.5000, 0.5000).

***

Energies relative to the most stable structure are *w* 190; *x* 0, reported in meV/atom.

***

*w*
Here is an optimized crystal structure of LaPbAuSe3 from the Open Quantum Materials Database. Energies are from PBE-GGA.

Its total magnetic moment is 0.01 μB/f.u.

It has space group Cmcm (No. 63), with a = 4.2084 Å, b = 13.9723 Å, c = 11.1135 Å, α = 90.00°, β = 90.00° and γ = 90.00°. The inequivalent atoms are La at (0.0000, 0.0000, 0.0000), Pb at (0.0000, 0.2313, 0.2500), Au at (0.0000, 0.4697, 0.7500), Se at (0.0000, 0.0914, 0.7500) and Se at (0.0000, 0.3521, 0.5646).

***

*x*
Here is an optimized crystal structure of LaPbAuSe3 from the Open Quantum Materials Database. Energies are from PBE-GGA.

Its total magnetic moment is 0.00 μB/f.u.

It has space group P2_1/m (No. 11), with a = 7.9780 Å, b = 4.2544 Å, c = 10.2662 Å, α = 90.00°, β = 104.51° and γ = 90.00°. The inequivalent atoms are La at (0.1990, 0.2500, 0.1655), Pb at (0.2389, 0.7500, 0.6998), Au at (0.3807, 0.7500, 0.4177), Se at (0.0763, 0.2500, 0.8623), Se at (0.1984, 0.2500, 0.4621) and Se at (0.4690, 0.7500, 0.1847).

***

Energies relative to the most stable structure are *w* 0; *x* 18, reported in meV/atom.

***

*w*
Here is an optimized crystal structure of LaPrSi3Au from the Open Quantum Materials Database. Energies are from PBE-GGA.

Its total magnetic moment is 0.00 μB/f.u.

It has space group Fmmm (No. 69), with a = 8.3420 Å, b = 8.8245 Å, c = 14.4168 Å, α = 90.00°, β = 90.00° and γ = 90.00°. The inequivalent atoms are La at (0.0000, 0.2430, 0.0000), Pr at (0.2500, 0.2500, 0.2500), Si at (0.0000, 0.0000, 0.1642), Si at (0.2460, 0.0000, 0.0822) and Au at (0.0000, 0.0000, 0.3334).

***

*x*
Here is an optimized crystal structure of LaPrSi3Au from the Open Quantum Materials Database. Energies are from PBE-GGA.

Its total magnetic moment is 0.00 μB/f.u.

It has space group Fmmm (No. 69), with a = 8.3454 Å, b = 8.7987 Å, c = 14.4525 Å, α = 90.00°, β = 90.00° and γ = 90.00°. The inequivalent atoms are La at (0.2500, 0.2500, 0.2500), Pr at (0.0000, 0.2423, 0.0000), Si at (0.0000, 0.0000, 0.1635), Si at (0.2463, 0.0000, 0.0815) and Au at (0.0000, 0.0000, 0.3342).

***

Energies relative to the most stable structure are *w* 0; *x* 6, reported in meV/atom.